[1]
Here is an optimized crystal structure of MnBePI2 from Alexandria. Energies are from GGA-PBE.

a = 5.6281 Å, b = 5.6281 Å, c = 4.3144 Å
α = 90.00°, β = 90.00°, γ = 90.00°
Atoms (fractional coordinates):
Mn: 0.0000 0.0000 0.0000
Be: 0.5000 0.5000 0.5000
P: 0.0000 0.0000 0.5000
I: 0.0000 0.5000 0.0000
I: 0.5000 0.0000 0.0000

Calculated values
Formation energy without anion corrections in eV/f.u.: 3.62
Calculated volume in Å³/cell: 137
SG: P4/mmm, No. 123
Crystal system: tetragonal

---

[2]
Here is an optimized crystal structure of TiMn8Tc3 from Alexandria. Energies are from GGA-PBE.

a = 4.6727 Å, b = 4.6727 Å, c = 7.6790 Å
α = 90.00°, β = 90.00°, γ = 120.00°
Atoms (fractional coordinates):
Ti: 0.0000 0.0000 0.0000
Mn: 0.1606 0.3212 0.6872
Mn: 0.1606 0.8394 0.6872
Mn: 0.3333 0.6667 0.4428
Mn: 0.3333 0.6667 0.9424
Mn: 0.5055 0.0110 0.1890
Mn: 0.5055 0.4945 0.1890
Mn: 0.6788 0.8394 0.6872
Mn: 0.9890 0.4945 0.1890
Tc: 0.0000 0.0000 0.3734
Tc: 0.6667 0.3333 0.5063
Tc: 0.6667 0.3333 0.8694

Calculated values
Calculated volume in Å³/cell: 145
SG: P3m1, No. 156
Calculated formation energy in eV/atom: -0.13
Crystal system: trigonal

---

[3]
Here is an optimized crystal structure of Sr2Sb3Pd4Rh from Alexandria. Energies are from GGA-PBE.

a = 4.4486 Å, b = 4.4486 Å, c = 11.3319 Å
α = 90.00°, β = 90.00°, γ = 90.00°
Atoms (fractional coordinates):
Sr: 0.0000 0.5000 0.2409
Sr: 0.5000 0.0000 0.7591
Sb: 0.0000 0.0000 0.0000
Sb: 0.0000 0.5000 0.6314
Sb: 0.5000 0.0000 0.3686
Pd: 0.0000 0.0000 0.5000
Pd: 0.0000 0.5000 0.8619
Pd: 0.5000 0.0000 0.1381
Pd: 0.5000 0.5000 0.5000
Rh: 0.5000 0.5000 0.0000

Calculated values
Formation energy without anion corrections in eV/f.u.: -6.38
Calculated volume in Å³/cell: 224
SG: P-4m2, No. 115
Crystal system: tetragonal